1) TlTcSb3, relaxed, DFT GGA-PBE; DOS(E_F) = 5.5 states/eV/cell; ρ = 6.3 g cm⁻³; total moment = 3.2 μB per cell; SG = No. 221; crystal system = cubic
1.0
5.611 0.000 0.000
0.000 5.611 0.000
0.000 0.000 5.611
Tl Sb Tc
1 3 1
Cartesian
0.000 0.000 0.000
2.806 0.000 0.000
0.000 2.806 0.000
0.000 0.000 2.806
2.806 2.806 2.806

2) TlTcSb3, relaxed, DFT GGA-PBE; DOS(E_F) = 7.0 states/eV/cell; ρ = 7.7 g cm⁻³; total moment = 0.0 μB per cell; SG = No. 221; crystal system = cubic
1.0
5.242 0.000 0.000
0.000 5.242 0.000
0.000 0.000 5.242
Tl Sb Tc
1 3 1
Cartesian
2.621 2.621 2.621
2.621 0.000 0.000
0.000 2.621 0.000
0.000 0.000 2.621
0.000 0.000 0.000

Stability, highest: 2)

1) Tm4TcSb, relaxed, DFT GGA-PBE; DOS(E_F) = 19.3 states/eV/cell; ρ = 9.6 g cm⁻³; total moment = 0.0 μB per cell; SG = No. 62; crystal system = orthorhombic
1.0
-3.311 -1.991 1.779
-2.180 -2.699 -7.078
10.455 -15.114 2.544
Tm Tc Sb
16 4 4
Cartesian
-2.333 -7.184 -4.753
5.657 -15.505 0.805
-2.333 -4.167 -6.462
7.296 -12.620 1.998
7.726 -16.650 -1.712
2.639 -8.429 -1.979
2.324 -11.375 -0.776
2.667 -6.233 0.531
-0.395 -7.060 -1.008
7.296 -15.637 3.707
2.296 -13.571 -3.286
0.395 -10.643 -3.548
-2.762 -3.154 -1.043
5.358 -12.744 -1.747
-0.694 -4.299 -3.560
4.568 -9.160 0.794
1.546 -8.805 0.652
8.447 -15.345 1.091
-3.484 -4.459 -3.846
3.417 -10.998 -3.407
4.206 -12.679 1.266
0.757 -7.124 -4.021
0.674 -4.078 -0.768
4.290 -15.726 -1.987

2) Tm4TcSb, relaxed, DFT GGA-PBE; DOS(E_F) = 10.1 states/eV/cell; ρ = 9.2 g cm⁻³; total moment = 0.0 μB per cell; SG = No. 15; crystal system = monoclinic
1.0
-5.407 2.852 -0.216
2.383 -1.167 -7.934
-1.558 -6.667 4.009
Tc Sb Tm
2 2 8
Cartesian
-3.225 -5.685 -4.086
-1.357 0.703 -0.054
-3.639 -3.627 -0.103
-0.942 -1.355 -4.038
-3.073 0.592 -2.351
-3.524 0.870 -5.925
-1.509 -5.574 -1.789
-3.590 -3.004 -3.227
-0.992 -1.978 -0.913
-0.799 -4.456 -4.902
-1.058 -5.851 1.784
-3.783 -0.526 0.762

Stability, highest: 1)

1) UTcSb, relaxed, DFT GGA-PBE; DOS(E_F) = 4.9 states/eV/cell; ρ = 12.1 g cm⁻³; total moment = 1.0 μB per cell; SG = No. 187; crystal system = hexagonal
1.0
3.382 0.000 0.000
0.000 4.628 0.000
0.000 -2.314 4.008
Tc U Sb
1 1 1
Cartesian
0.564 0.000 0.000
2.254 0.000 2.672
0.564 2.314 1.336

2) UTcSb, relaxed, DFT GGA-PBE; DOS(E_F) = 10.6 states/eV/cell; ρ = 11.3 g cm⁻³; total moment = 2.5 μB per cell; SG = No. 38; crystal system = orthorhombic
1.0
3.975 0.000 -0.207
0.000 4.346 0.000
-1.584 0.000 7.871
Sb U Tc
2 2 2
Cartesian
2.415 0.000 5.627
0.313 2.173 3.461
0.189 0.000 1.091
0.475 2.173 6.644
2.273 0.000 2.842
2.181 2.173 1.090

3) UTcSb, relaxed, DFT GGA-PBE; DOS(E_F) = 5.9 states/eV/cell; ρ = 10.9 g cm⁻³; total moment = 2.0 μB per cell; SG = No. 216; crystal system = cubic
1.0
-2.948 -3.531 -0.461
0.647 -3.130 -3.341
1.345 -4.289 1.080
Sb Tc U
1 1 1
Cartesian
0.000 0.000 0.000
-0.239 -2.738 -0.680
-0.478 -5.475 -1.361

4) UTcSb, relaxed, DFT GGA-PBE; DOS(E_F) = 13.5 states/eV/cell; ρ = 10.9 g cm⁻³; total moment = 3.4 μB per cell; SG = No. 131; crystal system = tetragonal
1.0
-4.178 0.373 -2.138
2.105 -0.431 -4.189
-0.704 -6.235 0.287
Sb Tc U
2 2 2
Cartesian
-3.186 -1.228 -1.996
-0.396 -4.748 -2.879
-2.310 -3.003 -4.019
-2.662 -6.120 -3.876
-3.538 -4.346 -1.853
-0.044 -1.631 -3.022

Stability, highest: 1)

1) UTcSb2, relaxed, DFT GGA-PBE; DOS(E_F) = 6.0 states/eV/cell; ρ = 11.4 g cm⁻³; total moment = 1.4 μB per cell; SG = No. 123; crystal system = tetragonal
1.0
-3.511 -1.889 1.621
0.707 -3.534 -2.588
2.467 -1.845 3.193
U Sb Tc
1 2 1
Cartesian
-0.168 -3.634 1.113
1.234 -0.923 1.597
0.353 -1.767 -1.294
-1.755 -0.945 0.810

2) UTcSb2, relaxed, DFT GGA-PBE; DOS(E_F) = 6.5 states/eV/cell; ρ = 11.4 g cm⁻³; total moment = 3.2 μB per cell; SG = No. 123; crystal system = tetragonal
1.0
3.300 0.000 0.000
0.000 3.300 0.000
0.000 0.000 7.769
Sb U Tc
2 1 1
Cartesian
0.000 0.000 1.619
0.000 0.000 6.150
1.650 1.650 3.884
1.650 1.650 0.000

3) UTcSb2, relaxed, DFT GGA-PBE; DOS(E_F) = 6.4 states/eV/cell; ρ = 10.8 g cm⁻³; total moment = 0.2 μB per cell; SG = No. 166; crystal system = trigonal
1.0
3.107 0.000 0.000
1.553 2.690 0.000
1.553 0.897 10.646
U Sb Tc
1 2 1
Cartesian
3.107 1.794 5.323
1.553 0.897 7.992
4.660 2.690 2.653
0.000 0.000 0.000

Stability, highest: 2)

1) U2TcSb, relaxed, DFT GGA-PBE; DOS(E_F) = 6.9 states/eV/cell; ρ = 13.6 g cm⁻³; total moment = 0.7 μB per cell; SG = No. 123; crystal system = tetragonal
1.0
3.792 0.000 0.000
0.000 3.792 0.000
0.000 0.000 5.925
U Tc Sb
2 1 1
Cartesian
0.000 0.000 1.249
0.000 0.000 4.677
1.896 1.896 0.000
1.896 1.896 2.963

2) U2TcSb, relaxed, DFT GGA-PBE; DOS(E_F) = 10.1 states/eV/cell; ρ = 13.8 g cm⁻³; total moment = 2.1 μB per cell; SG = No. 166; crystal system = trigonal
1.0
3.116 0.000 0.000
1.558 2.698 0.000
1.558 0.899 9.968
U Sb Tc
2 1 1
Cartesian
1.558 0.899 2.210
4.673 2.698 7.758
3.116 1.799 4.984
0.000 0.000 0.000

3) U2TcSb, relaxed, DFT GGA-PBE; DOS(E_F) = 14.2 states/eV/cell; ρ = 13.2 g cm⁻³; total moment = 0.0 μB per cell; SG = No. 63; crystal system = orthorhombic
1.0
3.693 0.857 0.000
0.759 5.127 0.000
0.000 0.000 9.597
Tc Sb U
2 2 4
Cartesian
3.223 2.893 2.399
1.230 3.091 7.198
0.890 4.559 2.399
3.563 1.425 7.198
2.978 3.945 9.138
1.474 2.039 0.459
2.978 3.945 5.258
1.474 2.039 4.340

Stability, highest: 1)

1) VTcSb, relaxed, DFT GGA-PBE; DOS(E_F) = 4.7 states/eV/cell; ρ = 7.5 g cm⁻³; total moment = 0.0 μB per cell; SG = No. 12; crystal system = monoclinic
1.0
-2.070 -2.191 0.070
3.561 -1.221 2.163
-6.401 6.236 5.918
Sb Tc V
2 2 2
Cartesian
-0.594 0.674 3.560
-4.317 2.150 4.591
-5.029 4.914 5.116
0.119 -2.090 3.035
0.447 -0.385 1.194
-5.357 3.209 6.957

2) VTcSb, relaxed, DFT GGA-PBE; DOS(E_F) = 5.2 states/eV/cell; ρ = 7.9 g cm⁻³; total moment = 0.0 μB per cell; SG = No. 216; crystal system = cubic
1.0
4.316 0.000 0.000
2.158 3.738 0.000
2.158 1.246 3.524
Sb Tc V
1 1 1
Cartesian
4.316 2.492 1.762
2.158 1.246 0.881
0.000 0.000 0.000

Stability, highest: 2)

1) Y2VTcSb, relaxed, DFT GGA-PBE; DOS(E_F) = 4.9 states/eV/cell; ρ = 5.9 g cm⁻³; total moment = 0.0 μB per cell; SG = No. 123; crystal system = tetragonal
1.0
-1.011 4.155 -3.231
-0.429 -2.739 -3.388
-5.237 -0.466 1.040
Y Tc V Sb
2 1 1 1
Cartesian
-2.619 -0.233 0.520
-0.506 2.077 -1.616
-0.214 -1.369 -1.694
0.000 0.000 0.000
-3.339 0.475 -2.790

2) Y2VTcSb, relaxed, DFT GGA-PBE; DOS(E_F) = 10.7 states/eV/cell; ρ = 5.1 g cm⁻³; total moment = 0.1 μB per cell; SG = No. 123; crystal system = tetragonal
1.0
5.548 0.000 0.000
0.000 5.548 0.000
0.000 0.000 4.745
Y Sb V Tc
2 1 1 1
Cartesian
2.774 0.000 0.000
0.000 2.774 0.000
0.000 0.000 0.000
0.000 0.000 2.372
2.774 2.774 2.372

Stability, highest: 1)

1) TcSb2W, relaxed, DFT GGA-PBE; DOS(E_F) = 3.4 states/eV/cell; ρ = 11.4 g cm⁻³; total moment = 0.0 μB per cell; SG = No. 10; crystal system = monoclinic
1.0
-3.069 2.976 -0.404
-1.895 -1.706 1.827
1.798 2.504 4.791
Tc Sb W
1 2 1
Cartesian
-1.559 1.687 1.453
-0.048 -0.041 0.064
0.000 0.440 3.246
-1.607 2.086 4.762

2) TcSb2W, relaxed, DFT GGA-PBE; DOS(E_F) = 3.0 states/eV/cell; ρ = 11.8 g cm⁻³; total moment = 0.0 μB per cell; SG = No. 8; crystal system = monoclinic
1.0
-0.753 -4.594 -2.051
2.311 -3.669 -2.660
1.683 -3.457 3.215
W Sb Tc
1 2 1
Cartesian
0.687 -2.602 -0.493
1.624 -8.329 -4.479
2.357 -8.721 -1.384
1.750 -6.191 -0.599

3) TcSb2W, relaxed, DFT GGA-PBE; DOS(E_F) = 4.2 states/eV/cell; ρ = 11.4 g cm⁻³; total moment = 0.0 μB per cell; SG = No. 71; crystal system = orthorhombic
1.0
-0.271 4.841 -2.249
-2.832 3.146 3.263
4.495 -2.861 -0.415
Tc Sb W
1 2 1
Cartesian
1.336 2.986 -1.079
-3.085 7.940 1.008
-1.570 4.040 0.513
0.055 2.139 1.677

4) TcSb2W, relaxed, DFT GGA-PBE; DOS(E_F) = 3.9 states/eV/cell; ρ = 11.2 g cm⁻³; total moment = 0.0 μB per cell; SG = No. 44; crystal system = orthorhombic
1.0
-0.580 5.950 -2.217
-4.770 4.203 0.492
4.255 -3.940 2.651
W Sb Tc
1 2 1
Cartesian
-1.891 3.233 1.044
0.700 3.165 -0.150
-5.163 9.799 -1.665
-2.764 5.246 -0.892

Stability, highest: 2)